# 1
The following is a PBE calculation of crystalline BaMg2Hg2 at its relaxed geometry, from Alexandria.

Results
The calculation puts the density of states at the Fermi level at 0.5644 states/eV/atom. The formation energy from the elements comes out at -1.0 eV/f.u. As for the energy above the most stable polymorph in this dataset: 161 meV/atom.

Cell: 8.846 8.846 3.418 Å, 90.00 90.00 90.00°
Space group P4/mbm (No. 127)
Unique sites:
Ba 0.000 0.000 0.000 x2
Mg 0.121 0.379 0.000 x4
Hg 0.173 0.673 0.500 x4

# 2
The following is a PBE calculation of crystalline BaCa2MnSe4 at its relaxed geometry, from Alexandria.

Cell: 4.290 14.401 14.633 Å, 90.00 90.00 90.00°
Space group Cmcm (No. 63)
Unique sites:
Ba 0.000 0.116 0.250 x4
Ca 0.000 0.372 0.052 x8
Mn 0.000 0.157 0.750 x4
Se 0.000 0.000 0.000 x4
Se 0.000 0.264 0.618 x8
Se 0.000 0.440 0.250 x4

# 3
The following is a PBE calculation of crystalline LiZr2ReOs at its relaxed geometry, from Alexandria.

Results
The calculation puts the density of states at the Fermi level at 0.8464 states/eV/atom. The formation energy from the elements comes out at 3.9 eV/f.u.

Cell: 5.091 5.091 4.713 Å, 90.00 90.00 90.00°
Space group P4/mmm (No. 123)
Unique sites:
Li 0.000 0.000 0.000 x1
Zr 0.000 0.500 0.500 x2
Re 0.500 0.500 0.000 x1
Os 0.500 0.500 0.500 x1

# 4
The following is a PBE calculation of crystalline K4Mg at its relaxed geometry, from Alexandria.

Results
The calculation puts the density of states at the Fermi level at 0.7230 states/eV/atom. The formation energy from the elements comes out at 0.6 eV/f.u. As for the energy above the most stable polymorph in this dataset: 0 meV/atom.

Cell: 9.690 9.690 6.090 Å, 90.00 90.00 90.00°
Space group I4/m (No. 87)
Unique sites:
K 0.106 0.713 0.000 x8
Mg 0.000 0.000 0.500 x2

# 5
The following is a PBE calculation of crystalline K2MnGeSe4 at its relaxed geometry, from Alexandria.

Cell: 6.102 13.841 24.561 Å, 90.00 90.00 90.00°
Space group Fddd (No. 70, origin choice 2)
Unique sites:
K 0.125 0.125 0.309 x16
Mn 0.125 0.125 0.125 x8
Ge 0.125 0.125 0.625 x8
Se 0.106 0.273 0.821 x32

# 6
The following is a PBE calculation of crystalline BaCePb2 at its relaxed geometry, from Alexandria.

Results
The calculation puts the density of states at the Fermi level at 2.3131 states/eV/atom. The formation energy from the elements comes out at -1.4 eV/f.u.

Cell: 5.433 5.433 4.653 Å, 90.00 90.00 90.00°
Space group P4/mmm (No. 123)
Unique sites:
Ba 0.000 0.000 0.000 x1
Ce 0.500 0.500 0.000 x1
Pb 0.000 0.500 0.500 x2

What did we get for magnetic moment? Answer: 0.0, 5.0, 0.0, 0.0, 5.0, 1.2 μB/f.u., in the order shown.
What did we get for energy? Answer: -13.5, -168.0, -38.7, -10.7, -286.4, -16.7 eV per cell, in the order shown.